The following is a DFT calculation (PBE-GGA) of a geometry-optimized AlZnC2 structure.

Geometry as POSCAR:
```
AlZnC2
1.0
0.000 2.728 2.728
2.728 0.000 2.728
2.728 2.728 0.000
Al Zn C
1 1 2
direct
0.000 0.000 0.000
0.500 0.500 0.500
0.250 0.250 0.250
0.750 0.750 0.750
```

Output
Calculated formation energy = 37.3 kcal/mol of atoms
Distance to the lowest polymorph of the same formula = 525 meV per atom
V = 41 Å³ per cell

***

The following is a DFT calculation (PBE-GGA) of a geometry-optimized Zr2Al4C5 structure.

Geometry as POSCAR:
```
Zr2Al4C5
1.0
1.679 0.969 13.729
-1.679 0.969 13.729
0.000 -1.938 13.729
Zr Al C
2 4 5
direct
0.134 0.134 0.134
0.866 0.866 0.866
0.311 0.311 0.311
0.411 0.411 0.411
0.589 0.589 0.589
0.689 0.689 0.689
0.234 0.234 0.234
0.364 0.364 0.364
0.500 0.500 0.500
0.636 0.636 0.636
0.766 0.766 0.766
```

Output
Calculated formation energy = -7.9 kcal/mol of atoms
V = 134 Å³ per cell

***

The following is a DFT calculation (PBE-GGA) of a geometry-optimized ZrAlC structure.

Geometry as POSCAR:
```
ZrAlC
1.0
3.479 0.000 0.000
0.000 3.479 0.000
0.000 0.000 6.937
Zr Al C
2 2 2
direct
0.250 0.250 0.154
0.750 0.750 0.846
0.250 0.750 0.500
0.750 0.250 0.500
0.250 0.250 0.826
0.750 0.750 0.174
```

Output
Calculated formation energy = -1.9 kcal/mol of atoms
V = 84 Å³ per cell

***

Question: Among the records above, which one has the highest V?
Answer: Zr2Al4C5

***

Question: What is the formula in the third record?
Answer: ZrAlC